Compound: Li2NbSb
Source: OQMD
Functional: PBE
Structure: optimized geometry Values from VASP.

The structure in Quantum ESPRESSO input format:
```
&SYSTEM
  ibrav = 0, nat = 4, ntyp = 3
/
ATOMIC_SPECIES
Nb 92.91 Nb.upf
Li 6.94 Li.upf
Sb 121.76 Sb.upf
CELL_PARAMETERS angstrom
0.938 2.167 3.972
-3.403 2.004 2.399
-1.385 -1.827 4.012
ATOMIC_POSITIONS crystal
Nb 0.250 0.250 0.250
Li 0.750 0.750 0.750
Sb 0.500 0.500 0.500
Li 0.000 0.000 0.000
```

***

Compound: LiNb3Sb5
Source: OQMD
Functional: PBE
Structure: optimized geometry Values from VASP.

The structure in Quantum ESPRESSO input format:
```
&SYSTEM
  ibrav = 0, nat = 9, ntyp = 3
/
ATOMIC_SPECIES
Sb 121.76 Sb.upf
Li 6.94 Li.upf
Nb 92.91 Nb.upf
CELL_PARAMETERS angstrom
-0.494 1.249 -5.581
3.176 -4.481 1.668
-6.986 -5.149 -0.534
ATOMIC_POSITIONS crystal
Sb 0.000 0.000 0.500
Sb 0.667 0.333 0.778
Li 0.000 0.000 0.000
Nb 0.000 0.500 0.500
Nb 0.500 0.500 0.500
Sb 0.667 0.333 0.222
Sb 0.333 0.667 0.222
Nb 0.500 0.000 0.500
Sb 0.333 0.667 0.778
```

***

Compound: LiNb2Sb
Source: OQMD
Functional: PBE
Structure: optimized geometry Values from VASP.

The structure in Quantum ESPRESSO input format:
```
&SYSTEM
  ibrav = 0, nat = 4, ntyp = 3
/
ATOMIC_SPECIES
Nb 92.91 Nb.upf
Li 6.94 Li.upf
Sb 121.76 Sb.upf
CELL_PARAMETERS angstrom
0.693 -0.198 4.605
-2.402 -3.041 2.590
2.159 -3.680 1.876
ATOMIC_POSITIONS crystal
Nb 0.000 0.000 0.000
Nb 0.750 0.750 0.750
Li 0.250 0.250 0.250
Sb 0.500 0.500 0.500
```

***

Compound: LiNbTcSb
Source: OQMD
Functional: PBE
Structure: optimized geometry Values from VASP.

Values from the calculation:
Distance to the lowest polymorph of the same formula = 498 meV/atom

The structure in Quantum ESPRESSO input format:
```
&SYSTEM
  ibrav = 0, nat = 4, ntyp = 4
/
ATOMIC_SPECIES
Sb 121.76 Sb.upf
Tc 98.00 Tc.upf
Li 6.94 Li.upf
Nb 92.91 Nb.upf
CELL_PARAMETERS angstrom
0.000 3.203 3.203
3.203 0.000 3.203
3.203 3.203 0.000
ATOMIC_POSITIONS crystal
Sb 0.250 0.250 0.250
Tc 0.500 0.500 0.500
Li 0.750 0.750 0.750
Nb 0.000 0.000 0.000
```

***

Compound: LiNbTcSb
Source: OQMD
Functional: PBE
Structure: optimized geometry Values from VASP.

Values from the calculation:
Distance to the lowest polymorph of the same formula = 0 meV/atom

The structure in Quantum ESPRESSO input format:
```
&SYSTEM
  ibrav = 0, nat = 4, ntyp = 4
/
ATOMIC_SPECIES
Li 6.94 Li.upf
Nb 92.91 Nb.upf
Tc 98.00 Tc.upf
Sb 121.76 Sb.upf
CELL_PARAMETERS angstrom
0.000 3.179 3.179
3.179 0.000 3.179
3.179 3.179 0.000
ATOMIC_POSITIONS crystal
Li 0.750 0.750 0.750
Nb 0.500 0.500 0.500
Tc 0.250 0.250 0.250
Sb 0.000 0.000 0.000
```

***

Compound: Li2ScNb
Source: OQMD
Functional: PBE
Structure: optimized geometry Values from VASP.

The structure in Quantum ESPRESSO input format:
```
&SYSTEM
  ibrav = 0, nat = 4, ntyp = 3
/
ATOMIC_SPECIES
Sc 44.96 Sc.upf
Li 6.94 Li.upf
Nb 92.91 Nb.upf
CELL_PARAMETERS angstrom
-3.447 -2.663 1.820
-3.454 -1.615 -2.783
-0.234 -4.598 -1.046
ATOMIC_POSITIONS crystal
Sc 0.500 0.500 0.500
Li 0.250 0.250 0.250
Nb 0.750 0.750 0.750
Li 0.000 0.000 0.000
```

***

Let's list uncorrected energy in order: -17.95 -53.81 -26.03 -25.68 -27.67 -17.95 eV per formula unit.
Let's list magnetic moment in order: 1.7 0.0 0.0 0.4 0.0 2.4 μB per formula unit.